Compound: ScAlAgPb
Source: Alexandria via LeMat-Bulk
Functional: GGA-PBE
Structure: optimized geometry

Computed properties:
Energy of formation in eV/atom: -0.1045
Excess energy over the best structure of this formula in the dataset in eV/f.u.: 0.394

abc: 4.4870 4.4870 15.3368
angles: 90.00 90.00 120.00
Space group R3m (No. 160, hexagonal axes)
Symmetry-distinct sites (fractional):
Sc 0.0000 0.0000 0.0000 x3
Al 0.0000 0.0000 0.2315 x3
Ag 0.0000 0.0000 0.5464 x3
Pb 0.0000 0.0000 0.7769 x3

---

Compound: Nd12ErIn3
Source: Alexandria via LeMat-Bulk
Functional: GGA-PBE
Structure: optimized geometry

Computed properties:
Energy of formation in eV/atom: -0.1980

abc: 5.001 5.001 20.351
angles: 90.00 90.00 90.00
Space group P4/mmm (No. 123)
Symmetry-distinct sites (fractional):
Nd 0.000 0.000 0.000 x1
Nd 0.000 0.000 0.246 x2
Nd 0.000 0.000 0.500 x1
Nd 0.000 0.500 0.123 x4
Nd 0.000 0.500 0.370 x4
Er 0.500 0.500 0.500 x1
In 0.500 0.500 0.000 x1
In 0.500 0.500 0.245 x2

---

Compound: CsTh2S4
Source: Alexandria via LeMat-Bulk
Functional: GGA-PBE
Structure: optimized geometry

Computed properties:
Formation energy without anion corrections in eV per atom: -1.8056

abc: 4.182 13.786 14.435
angles: 90.00 90.00 90.00
Space group Cmcm (No. 63)
Symmetry-distinct sites (fractional):
Cs 0.000 0.113 0.250 x4
Th 0.000 0.371 0.065 x8
S 0.000 0.000 0.000 x4
S 0.000 0.262 0.599 x8
S 0.000 0.414 0.250 x4

---

Compound: PmPrTe2Cl
Source: Alexandria via LeMat-Bulk
Functional: GGA-PBE
Structure: optimized geometry

Computed properties:
Formation energy without anion corrections in eV per atom: -1.6562

abc: 4.417 4.417 15.208
angles: 90.00 90.00 90.00
Space group P4/nmm (No. 129, origin choice 2)
Symmetry-distinct sites (fractional):
Pm 0.250 0.250 0.085 x2
Pr 0.250 0.250 0.633 x2
Te 0.250 0.250 0.298 x2
Te 0.250 0.250 0.875 x2
Cl 0.250 0.750 0.500 x2

---

Compound: K2NaTcF6
Source: Alexandria via LeMat-Bulk
Functional: GGA-PBE
Structure: optimized geometry

Computed properties:
Formation energy without anion corrections in eV per atom: -2.4386

abc: 6.1219 6.1219 30.4258
angles: 90.00 90.00 120.00
Space group R-3m (No. 166, hexagonal axes)
Symmetry-distinct sites (fractional):
K 0.0000 0.0000 0.1322 x6
K 0.0000 0.0000 0.2753 x6
Na 0.0000 0.0000 0.4066 x6
Tc 0.0000 0.0000 0.0000 x3
Tc 0.0000 0.0000 0.5000 x3
F 0.0126 0.5063 0.1282 x18
F 0.0280 0.5140 0.7068 x18

---

Compound: BiSb2Se
Source: Alexandria via LeMat-Bulk
Functional: GGA-PBE
Structure: optimized geometry

Computed properties:
Formation energy without anion corrections in eV per atom: 0.1944
Excess energy over the best structure of this formula in the dataset in eV/f.u.: 0.992

abc: 7.519 7.519 7.519
angles: 90.00 90.00 90.00
Space group Fm-3m (No. 225)
Symmetry-distinct sites (fractional):
Bi 0.000 0.000 0.000 x4
Sb 0.250 0.250 0.250 x8
Se 0.000 0.000 0.500 x4

---

Compound: ZnP2Ru
Source: Alexandria via LeMat-Bulk
Functional: GGA-PBE
Structure: optimized geometry

Computed properties:
Energy of formation in eV/atom: 0.1397

abc: 3.062 4.478 8.051
angles: 90.00 90.00 90.00
Space group Imm2 (No. 44)
Symmetry-distinct sites (fractional):
Zn 0.000 0.000 0.000 x2
P 0.000 0.000 0.476 x2
P 0.000 0.500 0.756 x2
Ru 0.000 0.500 0.212 x2

---

Compound: ZrTa3
Source: Alexandria via LeMat-Bulk
Functional: GGA-PBE
Structure: optimized geometry

Computed properties:
Energy of formation in eV/atom: 0.1005
Excess energy over the best structure of this formula in the dataset in eV/f.u.: 0.073

abc: 2.911 4.773 5.651
angles: 90.00 100.64 90.00
Space group P2/m (No. 10)
Symmetry-distinct sites (fractional):
Zr 0.000 0.000 0.000 x1
Ta 0.272 0.500 0.738 x2
Ta 0.500 0.000 0.500 x1

---

Compound: PrY3Ho
Source: Alexandria via LeMat-Bulk
Functional: GGA-PBE
Structure: optimized geometry

Computed properties:
Energy of formation in eV/atom: 0.2863
Excess energy over the best structure of this formula in the dataset in eV/f.u.: 1.376

abc: 3.650 11.633 8.566
angles: 90.00 102.12 90.00
Space group P2_1/m (No. 11)
Symmetry-distinct sites (fractional):
Pr 0.111 0.250 0.496 x2
Y 0.156 0.001 0.811 x4
Y 0.365 0.250 0.150 x2
Ho 0.292 0.750 0.164 x2

---

Compound: KNaSrPb
Source: Alexandria via LeMat-Bulk
Functional: GGA-PBE
Structure: optimized geometry

Computed properties:
Energy of formation in eV/atom: -0.2269

abc: 8.264 8.264 8.264
angles: 90.00 90.00 90.00
Space group F-43m (No. 216)
Symmetry-distinct sites (fractional):
K 0.000 0.000 0.000 x4
Na 0.250 0.250 0.250 x4
Sr 0.250 0.250 0.750 x4
Pb 0.000 0.000 0.500 x4

---

Compound: CsLa2Rh
Source: Alexandria via LeMat-Bulk
Functional: GGA-PBE
Structure: optimized geometry

Computed properties:
Energy of formation in eV/atom: 0.3197
Excess energy over the best structure of this formula in the dataset in eV/f.u.: 1.067

abc: 7.759 7.759 7.759
angles: 90.00 90.00 90.00
Space group Fm-3m (No. 225)
Symmetry-distinct sites (fractional):
Cs 0.000 0.000 0.000 x4
La 0.250 0.250 0.250 x8
Rh 0.000 0.000 0.500 x4

---

Compound: LaIn2As
Source: Alexandria via LeMat-Bulk
Functional: GGA-PBE
Structure: optimized geometry

Computed properties:
Energy of formation in eV/atom: -0.6100

abc: 4.467 4.467 5.176
angles: 90.00 90.00 90.00
Space group P4/mmm (No. 123)
Symmetry-distinct sites (fractional):
La 0.000 0.000 0.000 x1
In 0.000 0.500 0.500 x2
As 0.500 0.500 0.000 x1

---

Compound: Ta3AlAu
Source: Alexandria via LeMat-Bulk
Functional: GGA-PBE
Structure: optimized geometry

Computed properties:
Energy of formation in eV/atom: 1.2362
Excess energy over the best structure of this formula in the dataset in eV/f.u.: 0.000

abc: 4.666 4.666 4.666
angles: 90.00 90.00 90.00
Space group Pm-3m (No. 221)
Symmetry-distinct sites (fractional):
Ta 0.000 0.000 0.500 x3
Al 0.000 0.000 0.000 x1
Au 0.500 0.500 0.500 x1

---

Compound: BiPt3Pb
Source: Alexandria via LeMat-Bulk
Functional: GGA-PBE
Structure: optimized geometry

Computed properties:
Energy of formation in eV/atom: 0.6709
Excess energy over the best structure of this formula in the dataset in eV/f.u.: 0.000

abc: 5.118 5.118 5.118
angles: 90.00 90.00 90.00
Space group Pm-3m (No. 221)
Symmetry-distinct sites (fractional):
Bi 0.000 0.000 0.000 x1
Pt 0.000 0.000 0.500 x3
Pb 0.500 0.500 0.500 x1

---

Compound: Ba4CaSc
Source: Alexandria via LeMat-Bulk
Functional: GGA-PBE
Structure: optimized geometry

Computed properties:
Energy of formation in eV/atom: 0.4688

abc: 10.752 10.752 10.752
angles: 90.00 90.00 90.00
Space group F-43m (No. 216)
Symmetry-distinct sites (fractional):
Ba 0.124 0.124 0.376 x16
Ca 0.000 0.000 0.000 x4
Sc 0.250 0.250 0.750 x4

---

Compound: SrMn
Source: Alexandria via LeMat-Bulk
Functional: GGA-PBE
Structure: optimized geometry

Computed properties:
Energy of formation in eV/atom: 1.5944

abc: 9.172 9.172 9.172
angles: 90.00 90.00 90.00
Space group Pm-3n (No. 223)
Symmetry-distinct sites (fractional):
Sr 0.000 0.250 0.500 x6
Mn 0.000 0.500 0.250 x6

---

Compound: PaNbF2
Source: Alexandria via LeMat-Bulk
Functional: GGA-PBE
Structure: optimized geometry

Computed properties:
Formation energy without anion corrections in eV per atom: -1.4647

abc: 3.0771 3.0771 24.3718
angles: 90.00 90.00 120.00
Space group R-3m (No. 166, hexagonal axes)
Symmetry-distinct sites (fractional):
Pa 0.0000 0.0000 0.0000 x3
Nb 0.0000 0.0000 0.5000 x3
F 0.0000 0.0000 0.4059 x6

---

Compound: CaH6O2
Source: Alexandria via LeMat-Bulk
Functional: GGA-PBE
Structure: optimized geometry

Computed properties:
Uncorrected energy in eV per atom: -4.26

abc: 11.572 5.597 3.690
angles: 90.00 103.32 90.00
Space group C2/m (No. 12)
Symmetry-distinct sites (fractional):
Ca 0.000 0.000 0.000 x2
H 0.000 0.232 0.500 x4
H 0.174 0.139 0.740 x8
O 0.202 0.000 0.903 x4

---

Compound: TmInNi5Ge2
Source: Alexandria via LeMat-Bulk
Functional: GGA-PBE
Structure: optimized geometry

Computed properties:
Energy of formation in eV/atom: -0.4099

abc: 4.014 4.014 8.204
angles: 90.00 90.00 90.00
Space group P4/mmm (No. 123)
Symmetry-distinct sites (fractional):
Tm 0.000 0.000 0.000 x1
In 0.000 0.000 0.500 x1
Ni 0.000 0.500 0.294 x4
Ni 0.500 0.500 0.500 x1
Ge 0.500 0.500 0.152 x2

---

Compound: Ho6InNi2
Source: Alexandria via LeMat-Bulk
Functional: GGA-PBE
Structure: optimized geometry

Computed properties:
Energy of formation in eV/atom: -0.3550

abc: 9.289 9.661 10.069
angles: 90.00 90.00 90.00
Space group Immm (No. 71)
Symmetry-distinct sites (fractional):
Ho 0.000 0.204 0.234 x8
Ho 0.193 0.500 0.176 x8
Ho 0.209 0.317 0.500 x8
In 0.000 0.000 0.000 x2
In 0.000 0.000 0.500 x2
Ni 0.000 0.353 0.000 x4
Ni 0.000 0.500 0.378 x4

---

Compound: Ac2TlSn2Rh5
Source: Alexandria via LeMat-Bulk
Functional: GGA-PBE
Structure: optimized geometry

Computed properties:
Energy of formation in eV/atom: -0.4131

abc: 10.664 10.664 3.789
angles: 90.00 90.00 90.00
Space group P4/mbm (No. 127)
Symmetry-distinct sites (fractional):
Ac 0.176 0.324 0.000 x4
Tl 0.000 0.000 0.000 x2
Sn 0.122 0.622 0.000 x4
Rh 0.000 0.500 0.500 x2
Rh 0.063 0.790 0.500 x8

---

Compound: Pr5Nd2Sb5
Source: Alexandria via LeMat-Bulk
Functional: GGA-PBE
Structure: optimized geometry

Computed properties:
Formation energy without anion corrections in eV per atom: -0.9206

abc: 14.738 4.490 13.154
angles: 90.00 108.01 90.00
Space group C2/m (No. 12)
Symmetry-distinct sites (fractional):
Pr 0.000 0.000 0.000 x2
Pr 0.159 0.000 0.543 x4
Pr 0.230 0.000 0.847 x4
Nd 0.038 0.500 0.284 x4
Sb 0.000 0.500 0.500 x2
Sb 0.121 0.500 0.931 x4
Sb 0.191 0.000 0.296 x4